VASP calculation (PBE) on a relaxed K2TaCo crystal.

Cell lengths 12.1678, 12.1678, 12.1678 Å; angles 14.01, 14.01, 14.01 degrees
Last column: nearest neighbours and their distance in Å.
Sites, in units of the cell vectors:
Co1 0.7500 0.7500 0.7500  6 Co 2.97, 6 K 3.27
K1 0.0064 0.0064 0.0064  6 K 2.97, 3 Co 3.27
K2 0.4936 0.4936 0.4936  6 K 2.97, 3 Co 3.27
Ta1 0.2500 0.2500 0.2500  6 Ta 2.97

Values from the calculation:
Total DFT energy (no corrections), eV/cell: -15.87
Formation energy, eV/atom: 1.3211
Energy above the lowest structure with this stoichiometry, meV/atom: 693.2
Space-group type: R-3m, No. 166